TbAl2 | SCAN | PBEsol geometry

Structure (POSCAR):
```
TbAl2
1.0
5.5235 0.0000 0.0000
2.7618 4.7835 0.0000
2.7618 1.5945 4.5099
Al Tb
4 2
Direct
0.6250 0.6250 0.1250 Al
0.6250 0.6250 0.6250 Al
0.1250 0.6250 0.6250 Al
0.6250 0.1250 0.6250 Al
0.0000 0.0000 0.0000 Tb
0.2500 0.2500 0.2500 Tb
```

Calculated values
Final energy ... -1.566 Ry/atom
Energy of formation from the pure elements ... -552 meV/atom
SG ... Fd-3m